1.
Cs3Na2ErCl8 PBE optimized geometry; formation energy (no corrections) = -1.996 eV per atom; total magnetic moment = 0.001 μB per formula unit; space-group type = P-3m1
1.0
7.614 0.000 0.000
-3.807 6.594 0.000
0.000 0.000 10.204
Cs Na Er Cl
3 2 1 8
Direct
0.333 0.667 0.632
0.667 0.333 0.368
0.000 0.000 0.000
0.333 0.667 0.198
0.667 0.333 0.802
0.000 0.000 0.500
0.333 0.667 0.950
0.667 0.333 0.050
0.160 0.840 0.348
0.840 0.160 0.652
0.160 0.320 0.348
0.840 0.680 0.652
0.680 0.840 0.348
0.320 0.160 0.652


2.
CsNaErCl5 PBE optimized geometry; formation energy (no corrections) = -2.117 eV per atom; total magnetic moment = 0.000 μB per formula unit; space-group type = C2/c
1.0
7.909 -0.202 0.046
-2.502 7.506 0.046
-2.190 -2.958 9.547
Cs Na Er Cl
2 2 2 10
Direct
0.335 0.665 0.250
0.665 0.335 0.750
0.686 0.314 0.250
0.314 0.686 0.750
0.000 0.000 0.500
0.000 0.000 0.000
0.057 0.943 0.250
0.943 0.057 0.750
0.901 0.279 0.081
0.099 0.721 0.919
0.721 0.099 0.419
0.279 0.901 0.581
0.761 0.650 0.432
0.239 0.350 0.568
0.350 0.239 0.068
0.650 0.761 0.932


3.
CsErPbCl6 PBE optimized geometry; formation energy (no corrections) = -1.896 eV per atom; total magnetic moment = 0.000 μB per formula unit; space-group type = P312
1.0
-1.189 3.418 6.399
-0.619 -3.908 6.196
7.430 0.548 1.088
Cs Er Pb Cl
1 1 1 6
Direct
0.000 0.000 0.000
0.333 0.333 0.500
0.667 0.667 0.500
0.028 0.361 0.296
0.361 0.028 0.704
0.610 0.361 0.704
0.028 0.610 0.704
0.361 0.610 0.296
0.610 0.028 0.296


4.
CsErPdCl6 PBE optimized geometry; formation energy (no corrections) = -1.586 eV per atom; total magnetic moment = 2.000 μB per formula unit; space-group type = P312
1.0
-4.131 -3.451 -4.045
-1.177 -6.527 1.165
-6.134 1.930 4.617
Cs Er Pd Cl
1 1 1 6
Direct
0.000 0.000 0.000
0.333 0.333 0.500
0.667 0.667 0.500
0.992 0.376 0.312
0.376 0.992 0.688
0.632 0.376 0.688
0.992 0.632 0.688
0.376 0.632 0.312
0.632 0.992 0.312


5.
CsErPtCl6 PBE optimized geometry; formation energy (no corrections) = -1.486 eV per atom; total magnetic moment = 2.000 μB per formula unit; space-group type = C2
1.0
-5.058 -3.338 -2.918
-1.988 -5.918 2.459
-5.222 3.712 4.741
Cs Er Pt Cl
1 1 1 6
Direct
0.000 0.001 0.000
0.333 0.335 0.500
0.667 0.667 0.500
0.992 0.373 0.314
0.373 0.991 0.687
0.635 0.373 0.687
0.993 0.634 0.690
0.372 0.634 0.311
0.635 0.992 0.312


6.
Cs2ErSnCl6 PBE optimized geometry; formation energy (no corrections) = -1.751 eV per atom; total magnetic moment = 1.000 μB per formula unit; space-group type = Pmmn
1.0
-5.176 3.840 3.791
-5.828 -6.836 -1.033
3.522 -4.403 9.269
Cs Er Sn Cl
4 2 2 12
Direct
0.500 0.789 0.248
0.000 0.211 0.748
0.500 0.789 0.752
0.000 0.211 0.252
0.500 0.229 0.500
0.000 0.771 0.000
0.000 0.723 0.500
0.500 0.277 0.000
0.500 0.216 0.257
0.500 0.216 0.743
0.000 0.784 0.243
0.000 0.784 0.757
0.255 0.019 0.500
0.745 0.019 0.500
0.246 0.425 0.500
0.754 0.425 0.500
0.746 0.575 0.000
0.254 0.575 0.000
0.245 0.981 0.000
0.755 0.981 0.000


Question: Which value of formation energy (no corrections) does entry 1 give?
Answer: -1.996 eV per atom